Record 1
Sr2AsBr, optimized geometry, DFT PBE; crystal system = cubic; uncorrected formation energy = -1.396 eV/atom
1.0
7.753 0.000 0.000
0.000 7.753 0.000
0.000 0.000 7.753
Sr As Br
8 4 4
Direct
0.250 0.250 0.250
0.250 0.250 0.750
0.250 0.750 0.250
0.250 0.750 0.750
0.750 0.250 0.250
0.750 0.250 0.750
0.750 0.750 0.250
0.750 0.750 0.750
0.000 0.000 0.000
0.000 0.500 0.500
0.500 0.000 0.500
0.500 0.500 0.000
0.000 0.000 0.500
0.000 0.500 0.000
0.500 0.000 0.000
0.500 0.500 0.500



Record 2
BaNa2Y2, optimized geometry, DFT PBE; crystal system = tetragonal; E = -31.11 eV/cell
1.0
10.257 0.000 0.000
0.000 10.257 0.000
0.000 0.000 3.670
Ba Na Y
2 4 4
Direct
0.000 0.000 0.000
0.500 0.500 0.000
0.168 0.332 0.000
0.332 0.832 0.000
0.668 0.168 0.000
0.832 0.668 0.000
0.124 0.624 0.500
0.376 0.124 0.500
0.624 0.876 0.500
0.876 0.376 0.500



Record 3
Th2AlGa12, optimized geometry, DFT PBE; crystal system = tetragonal; E = -116.90 eV/cell
1.0
6.399 0.000 0.000
0.000 6.399 0.000
0.000 0.000 14.856
Th Al Ga
4 2 24
Direct
0.250 0.750 0.240
0.250 0.750 0.760
0.750 0.250 0.240
0.750 0.250 0.760
0.250 0.750 0.000
0.750 0.250 0.000
0.000 0.000 0.090
0.000 0.000 0.910
0.000 0.500 0.090
0.000 0.500 0.910
0.082 0.582 0.428
0.082 0.918 0.572
0.250 0.250 0.180
0.250 0.250 0.345
0.250 0.250 0.655
0.250 0.250 0.820
0.418 0.582 0.572
0.418 0.918 0.428
0.500 0.000 0.090
0.500 0.000 0.910
0.500 0.500 0.090
0.500 0.500 0.910
0.582 0.082 0.572
0.582 0.418 0.428
0.750 0.750 0.180
0.750 0.750 0.345
0.750 0.750 0.655
0.750 0.750 0.820
0.918 0.082 0.428
0.918 0.418 0.572



Record 4
Rb2HoThS4, optimized geometry, DFT PBE; crystal system = monoclinic; uncorrected formation energy = -1.741 eV/atom
1.0
7.105 0.000 0.000
0.000 4.099 0.000
-2.349 0.000 7.742
Rb Ho Th S
2 1 1 4
Direct
0.000 0.000 0.000
0.500 0.500 0.000
0.000 0.500 0.500
0.500 0.000 0.500
0.227 0.000 0.694
0.261 0.500 0.300
0.739 0.500 0.700
0.773 0.000 0.306